Record 1
TmZn11Rh: optimized geometry, PBE.

Cell lengths 6.8494, 6.8494, 6.6449 Å; angles 97.95, 97.95, 135.45 degrees
Fractional positions:
Tm  0.0000  0.0000  0.0000
Zn  0.0000  0.5000  0.0000
Zn  0.0144  0.6672  0.6464
Zn  0.2849  0.5006  0.7862
Zn  0.3328  0.9856  0.3536
Zn  0.4994  0.7151  0.2138
Zn  0.5000  0.0000  0.0000
Zn  0.5000  0.5000  0.5000
Zn  0.5006  0.2849  0.7862
Zn  0.6672  0.0144  0.6464
Zn  0.7151  0.4994  0.2138
Zn  0.9856  0.3328  0.3536
Rh  0.0000  0.0000  0.5000

Crystal system = monoclinic
Symmetry = No. 12

=====

Record 2
TmZn2Rh3: optimized geometry, PBE.

Cell lengths 4.4326, 4.4326, 10.9241 Å; angles 90.00, 90.00, 120.00 degrees
Fractional positions:
Tm  0.3333  0.6667  0.1725
Tm  0.6667  0.3333  0.8275
Zn  0.0000  0.0000  0.0000
Zn  0.0000  0.0000  0.5000
Zn  0.3333  0.6667  0.6621
Zn  0.6667  0.3333  0.3379
Rh  0.0000  0.0000  0.2632
Rh  0.0000  0.0000  0.7368
Rh  0.3333  0.6667  0.4253
Rh  0.3333  0.6667  0.9170
Rh  0.6667  0.3333  0.0830
Rh  0.6667  0.3333  0.5747

Crystal system = trigonal
Symmetry = No. 164

=====

Record 3
Tm11Zn9Rh4: optimized geometry, PBE.

Cell lengths 12.2254, 12.2254, 3.6172 Å; angles 90.00, 90.00, 112.26 degrees
Fractional positions:
Tm  0.0000  0.0000  0.0000
Tm  0.0781  0.4148  0.0000
Tm  0.1700  0.8300  0.0000
Tm  0.2801  0.2801  0.0000
Tm  0.3631  0.6369  0.0000
Tm  0.4148  0.0781  0.0000
Tm  0.5852  0.9219  0.0000
Tm  0.6369  0.3631  0.0000
Tm  0.7199  0.7199  0.0000
Tm  0.8300  0.1700  0.0000
Tm  0.9219  0.5852  0.0000
Zn  0.0566  0.2107  0.5000
Zn  0.1543  0.6291  0.5000
Zn  0.2107  0.0566  0.5000
Zn  0.3709  0.8457  0.5000
Zn  0.5000  0.5000  0.5000
Zn  0.6291  0.1543  0.5000
Zn  0.7893  0.9434  0.5000
Zn  0.8457  0.3709  0.5000
Zn  0.9434  0.7893  0.5000
Rh  0.2630  0.4483  0.5000
Rh  0.4483  0.2630  0.5000
Rh  0.5517  0.7370  0.5000
Rh  0.7370  0.5517  0.5000

Crystal system = orthorhombic
Symmetry = No. 65

=====

Record 4
Tm8ZnRh2: optimized geometry, PBE.

Cell lengths 7.7258, 7.7258, 5.4136 Å; angles 98.02, 98.02, 113.54 degrees
Fractional positions:
Tm  0.0000  0.0000  0.0000
Tm  0.0469  0.3046  0.6043
Tm  0.1386  0.6162  0.1909
Tm  0.3046  0.0469  0.6043
Tm  0.4499  0.7077  0.7781
Tm  0.6162  0.1386  0.1909
Tm  0.7077  0.4499  0.7781
Tm  0.7548  0.7548  0.3822
Zn  0.3775  0.3775  0.1861
Rh  0.0694  0.6850  0.6908
Rh  0.6850  0.0694  0.6908

Crystal system = monoclinic
Symmetry = No. 8

=====

no.,formation energy from the elements (eV/f.u.)
1,-3.06
2,-3.65
3,-13.43
4,-3.76